PBE-GGA CsCu3Cl, relaxed; total moment = 0.0 μB/f.u.; E_form (uncorrected) = 145.47 kJ/mol of atoms; space-group type = No. 221
1.0
5.604 0.000 0.000
0.000 5.604 0.000
0.000 0.000 5.604
Cs Cu Cl
1 3 1
Cartesian
0.000 0.000 0.000
0.000 0.000 2.802
0.000 2.802 0.000
2.802 0.000 0.000
2.802 2.802 2.802

PBE-GGA Cs2CuCl4, relaxed; total moment = 1.0 μB/f.u.; E_form (uncorrected) = -130.68 kJ/mol of atoms; space-group type = No. 139
1.0
5.153 0.000 0.000
0.000 5.153 0.000
0.000 0.000 16.583
Cs Cu Cl
4 2 8
Cartesian
0.000 0.000 2.346
0.000 0.000 14.237
2.576 2.576 5.946
2.576 2.576 10.638
0.000 0.000 8.292
2.576 2.576 0.000
0.000 0.000 5.949
0.000 0.000 10.635
0.000 2.576 0.000
0.000 2.576 8.292
2.576 0.000 0.000
2.576 0.000 8.292
2.576 2.576 2.343
2.576 2.576 14.240

PBE-GGA Cs2CuCl4, relaxed; total moment = 1.1 μB/f.u.; E_form (uncorrected) = -133.71 kJ/mol of atoms; space-group type = No. 62
1.0
10.060 0.000 0.000
0.000 7.727 0.000
0.000 0.000 12.525
Cs Cu Cl
8 4 16
Cartesian
0.124 1.932 2.174
1.351 1.932 7.516
3.679 5.795 1.254
4.906 5.795 8.436
5.154 1.932 4.089
6.381 1.932 11.271
8.709 5.795 5.008
9.936 5.795 10.351
2.301 1.932 11.483
2.729 5.795 5.221
7.331 1.932 7.304
7.759 5.795 1.041
0.086 1.932 10.975
1.542 5.795 7.160
2.169 0.118 4.485
2.169 3.746 4.485
2.861 3.981 10.748
2.861 7.609 10.748
3.488 1.932 0.898
4.944 5.795 4.713
5.116 1.932 7.812
6.572 5.795 11.627
7.199 0.118 1.777
7.199 3.746 1.777
7.891 3.981 8.039
7.891 7.609 8.039
8.518 1.932 5.365
9.974 5.795 1.550

PBE-GGA CsCu6Cl8, relaxed; total moment = 0.8 μB/f.u.; E_form (uncorrected) = -64.50 kJ/mol of atoms; space-group type = No. 148
1.0
5.261 3.038 3.621
-5.261 3.038 3.621
0.000 -6.075 3.621
Cs Cu Cl
1 6 8
Cartesian
0.000 0.000 0.000
-1.518 -1.466 4.549
-2.029 0.582 6.313
-0.510 2.048 4.549
0.510 -2.048 6.313
2.029 -0.582 4.549
1.518 1.466 6.313
-3.527 -0.182 4.769
-1.605 -3.146 6.093
0.000 0.000 3.594
1.922 -2.963 4.769
-1.922 2.963 6.093
0.000 0.000 7.267
1.605 3.146 4.769
3.527 0.182 6.093

PBE-GGA Cs2Cu2Cl7, relaxed; total moment = 0.0 μB/f.u.; E_form (uncorrected) = -95.12 kJ/mol of atoms; space-group type = No. 12
1.0
4.768 -7.413 0.000
4.768 7.413 0.000
-0.004 0.000 4.738
Cs Cu Cl
2 2 7
Cartesian
4.768 4.527 0.000
4.768 -4.527 0.000
2.489 0.000 2.379
7.043 0.000 2.359
-0.002 0.000 2.369
2.705 2.186 2.376
2.715 0.000 0.007
2.705 -2.186 2.376
6.826 2.186 2.362
6.816 0.000 4.731
6.826 -2.186 2.362

PBE-GGA CsCu2Cl4, relaxed; total moment = 1.1 μB/f.u.; E_form (uncorrected) = -89.21 kJ/mol of atoms; space-group type = No. 139
1.0
8.768 0.000 0.000
0.000 8.768 0.000
0.000 0.000 5.706
Cs Cu Cl
2 4 8
Cartesian
0.000 0.000 0.000
4.384 4.384 2.853
0.000 4.384 1.427
0.000 4.384 4.280
4.384 0.000 1.427
4.384 0.000 4.280
0.000 2.574 2.853
0.000 6.194 2.853
1.810 4.384 0.000
2.574 0.000 2.853
4.384 1.810 0.000
4.384 6.958 0.000
6.194 0.000 2.853
6.958 4.384 0.000

PBE-GGA Cs3CuCl5, relaxed; total moment = 1.0 μB/f.u.; E_form (uncorrected) = -144.58 kJ/mol of atoms; space-group type = No. 140
1.0
-4.680 4.680 7.457
4.680 -4.680 7.457
4.680 4.680 -7.457
Cs Cu Cl
6 2 10
Cartesian
6.249 1.569 0.000
0.000 0.000 3.729
1.569 3.110 0.000
3.110 1.569 7.457
0.000 0.000 11.186
-1.569 3.110 7.457
4.680 0.000 3.729
0.000 4.680 3.729
0.000 0.000 0.000
5.927 -1.247 2.304
3.433 -1.247 5.153
3.433 1.247 2.304
5.927 1.247 5.153
0.000 0.000 7.457
-1.247 3.433 2.304
1.247 3.433 5.153
1.247 5.927 2.304
-1.247 5.927 5.153

PBE-GGA CsCu4Cl8, relaxed; total moment = 3.1 μB/f.u.; E_form (uncorrected) = -66.28 kJ/mol of atoms; space-group type = No. 166
1.0
3.592 2.074 8.352
-3.592 2.074 8.352
0.000 -4.148 8.352
Cs Cu Cl
1 4 8
Cartesian
0.000 0.000 0.000
-3.592 0.000 12.529
-1.796 1.037 4.176
1.796 1.037 4.176
0.000 0.000 12.529
0.000 0.000 5.476
-1.781 -1.028 13.885
0.000 -2.057 11.173
-1.781 1.028 11.173
1.781 -1.028 13.885
0.000 2.057 13.885
1.781 1.028 11.173
0.000 0.000 19.582

PBE-GGA CsCuCl4, relaxed; total moment = 0.0 μB/f.u.; E_form (uncorrected) = -92.08 kJ/mol of atoms; space-group type = No. 14
1.0
7.244 0.000 0.000
0.000 6.352 0.000
-5.121 0.000 8.790
Cs Cu Cl
2 2 8
Cartesian
0.000 0.000 0.000
-2.561 3.176 4.395
1.061 0.000 4.395
3.622 3.176 0.000
-0.937 0.057 3.530
-3.497 3.119 7.924
1.601 4.754 3.008
-0.960 4.774 7.403
3.083 1.578 1.387
0.522 1.598 5.781
5.620 3.234 0.865
3.060 6.295 5.260

PBE-GGA CsCuCl2, relaxed; total moment = 0.0 μB/f.u.; E_form (uncorrected) = -113.76 kJ/mol of atoms; space-group type = No. 122
1.0
7.534 0.000 0.000
0.000 7.534 0.000
0.000 0.000 8.229
Cs Cu Cl
4 4 8
Cartesian
0.000 0.000 0.000
0.000 3.767 2.057
3.767 0.000 6.172
3.767 3.767 4.114
0.000 0.000 4.114
0.000 3.767 6.172
3.767 0.000 2.057
3.767 3.767 0.000
0.983 1.884 5.143
1.884 4.750 7.200
1.884 6.551 3.086
2.784 1.884 1.029
4.750 5.651 1.029
5.651 0.983 3.086
5.651 2.784 7.200
6.551 5.651 5.143

PBE-GGA CsCuCl2, relaxed; total moment = 0.0 μB/f.u.; E_form (uncorrected) = -114.00 kJ/mol of atoms; space-group type = No. 62
1.0
6.794 0.000 0.000
0.000 6.143 0.000
0.000 0.000 11.312
Cs Cu Cl
4 4 8
Cartesian
1.066 1.536 1.421
2.331 4.607 7.077
4.463 1.536 4.235
5.728 4.607 9.891
0.167 4.607 4.123
3.230 1.536 9.780
3.564 4.607 1.533
6.627 1.536 7.189
1.060 1.536 5.359
1.061 1.536 9.203
2.335 4.607 3.547
2.337 4.607 11.016
4.457 1.536 0.297
4.458 1.536 7.765
5.732 4.607 2.109
5.734 4.607 5.953

PBE-GGA Cs2CuCl, relaxed; total moment = 0.2 μB/f.u.; E_form (uncorrected) = -66.03 kJ/mol of atoms; space-group type = No. 225
1.0
8.588 0.000 0.000
0.000 8.588 0.000
0.000 0.000 8.588
Cs Cu Cl
8 4 4
Cartesian
2.147 2.147 2.147
2.147 2.147 6.441
2.147 6.441 2.147
2.147 6.441 6.441
6.441 2.147 2.147
6.441 2.147 6.441
6.441 6.441 2.147
6.441 6.441 6.441
0.000 0.000 0.000
0.000 4.294 4.294
4.294 0.000 4.294
4.294 4.294 0.000
0.000 0.000 4.294
0.000 4.294 0.000
4.294 0.000 0.000
4.294 4.294 4.294

PBE-GGA CsCu3Cl4, relaxed; total moment = 0.0 μB/f.u.; E_form (uncorrected) = -75.60 kJ/mol of atoms; space-group type = No. 31
1.0
7.579 0.000 0.000
0.000 6.545 0.000
0.000 0.000 10.962
Cs Cu Cl
2 6 8
Cartesian
0.000 1.127 0.000
3.789 5.418 5.481
0.000 4.920 2.820
1.883 5.071 8.889
1.907 1.474 3.408
3.789 1.625 8.301
5.672 1.474 3.408
5.696 5.071 8.889
0.000 2.720 3.416
0.000 4.307 9.833
1.859 0.564 7.971
1.931 5.980 2.490
3.789 2.238 4.352
3.789 3.824 8.897
5.648 5.980 2.490
5.720 0.564 7.971

PBE-GGA Cs2CuCl5, relaxed; total moment = 1.0 μB/f.u.; E_form (uncorrected) = -115.02 kJ/mol of atoms; space-group type = No. 123
1.0
7.257 0.000 0.000
0.000 7.257 0.000
0.000 0.000 5.177
Cs Cu Cl
2 1 5
Cartesian
0.000 3.628 0.000
3.628 0.000 0.000
0.000 0.000 2.589
0.000 0.000 0.000
1.627 1.627 2.589
1.627 5.629 2.589
5.629 1.627 2.589
5.629 5.629 2.589

PBE-GGA Cs3Cu2Cl8, relaxed; total moment = 3.1 μB/f.u.; E_form (uncorrected) = -110.56 kJ/mol of atoms; space-group type = No. 166
1.0
3.571 2.062 9.850
-3.571 2.062 9.850
0.000 -4.124 9.850
Cs Cu Cl
3 2 8
Cartesian
0.000 0.000 0.000
0.000 0.000 6.197
0.000 0.000 23.352
0.000 0.000 11.967
0.000 0.000 17.582
-1.782 -1.029 16.690
0.000 -2.058 12.859
-1.782 1.029 12.859
0.000 0.000 9.749
0.000 0.000 19.800
1.782 -1.029 16.690
0.000 2.058 16.690
1.782 1.029 12.859

PBE-GGA CsDyCuCl5, relaxed; total moment = 0.2 μB/f.u.; E_form (uncorrected) = -169.20 kJ/mol of atoms; space-group type = No. 15
1.0
4.555 -6.048 0.000
4.555 6.048 0.000
-3.979 0.000 9.294
Cs Dy Cu Cl
2 2 2 10
Cartesian
1.571 4.173 6.971
3.560 -4.173 2.324
4.555 0.000 0.000
2.566 0.000 4.647
3.560 3.717 2.324
1.571 -3.717 6.971
-1.791 0.912 8.494
2.134 2.440 3.679
0.198 -0.912 3.847
4.987 2.440 0.968
1.571 0.789 6.971
3.560 -0.789 2.324
0.145 -2.440 8.326
4.933 0.912 5.447
2.998 -2.440 5.615
6.923 -0.912 0.800

PBE-GGA CsDyCu2Cl8, relaxed; total moment = 2.1 μB/f.u.; E_form (uncorrected) = -125.28 kJ/mol of atoms; space-group type = No. 12
1.0
4.908 -3.761 0.000
4.908 3.761 0.000
-0.056 0.000 10.611
Cs Dy Cu Cl
1 1 2 8
Cartesian
0.000 0.000 0.000
-0.028 0.000 5.306
3.595 0.000 7.453
6.166 0.000 3.159
4.743 2.026 7.324
5.017 2.026 3.288
2.630 0.000 5.423
3.278 0.000 9.608
6.483 0.000 1.003
7.130 0.000 5.189
4.743 -2.026 7.324
5.017 -2.026 3.288

PBE-GGA CsDyCu2Cl6, relaxed; total moment = 0.1 μB/f.u.; E_form (uncorrected) = -139.54 kJ/mol of atoms; space-group type = No. 15
1.0
5.078 -6.926 0.000
5.078 6.926 0.000
-2.544 0.000 8.191
Cs Dy Cu Cl
2 2 4 12
Cartesian
3.171 4.914 6.143
4.442 -4.914 2.048
4.442 0.747 2.048
3.171 -0.747 6.143
0.361 1.997 5.938
1.633 -1.997 1.843
5.980 1.997 6.348
7.252 -1.997 2.253
2.707 2.919 1.778
0.716 0.121 4.953
1.988 -0.121 0.857
2.365 1.503 7.627
3.977 1.503 4.659
6.178 2.919 2.317
1.435 -2.919 5.874
3.636 -1.503 3.532
5.249 -1.503 0.564
5.625 0.121 7.334
6.897 -0.121 3.238
4.906 -2.919 6.413

PBE-GGA Cs3DyCu2Cl9, relaxed; total moment = 1.1 μB/f.u.; E_form (uncorrected) = -152.71 kJ/mol of atoms; space-group type = No. 164
1.0
7.323 0.000 0.000
-3.661 6.342 0.000
0.000 0.000 9.037
Cs Dy Cu Cl
3 1 2 9
Cartesian
0.000 0.000 0.000
0.000 4.228 6.074
3.661 2.114 2.963
0.000 0.000 4.518
0.000 4.228 1.172
3.661 2.114 7.865
-1.831 3.171 0.000
0.000 2.153 2.981
-1.796 5.265 2.981
1.865 1.077 6.055
3.661 0.000 0.000
1.831 3.171 0.000
1.796 5.265 2.981
5.458 1.077 6.055
3.661 4.188 6.055

PBE-GGA CsErCu2Cl8, relaxed; total moment = 2.1 μB/f.u.; E_form (uncorrected) = -125.21 kJ/mol of atoms; space-group type = No. 12
1.0
4.912 -3.744 0.000
4.912 3.744 0.000
-0.061 0.000 10.577
Cs Er Cu Cl
1 1 2 8
Cartesian
0.000 0.000 0.000
-0.030 0.000 5.288
3.579 0.000 7.418
6.183 0.000 3.159
4.748 2.016 7.279
5.014 2.016 3.298
2.602 0.000 5.396
3.279 0.000 9.575
6.484 0.000 1.001
7.160 0.000 5.180
4.748 -2.016 7.279
5.014 -2.016 3.298